# 1
Density functional theory data (GGA-PBE) for Y2AgRu after structural relaxation.

```
4
Lattice="1.9042 1.0994 7.9213 -1.9042 1.0994 7.9213 0.0000 -2.1988 7.9213" Properties=species:S:1:pos:R:3 pbc="T T T"
Y 0.0000 0.0000 5.6295
Y 0.0000 0.0000 18.1345
Ag 0.0000 0.0000 0.0000
Ru 0.0000 0.0000 11.8820
```

Computed properties:
**Space group**: R-3m
**E**: -25.4 eV per formula unit
**DOS(E_F)**: 2.42 states/eV/f.u.

---

# 2
Density functional theory data (GGA-PBE) for Ce2PaP3Rh4 after structural relaxation.

```
10
Lattice="4.0115 0.0000 0.0000 0.0000 4.0115 0.0000 0.0000 0.0000 11.2427" Properties=species:S:1:pos:R:3 pbc="T T T"
Ce 0.0000 2.0057 2.5741
Ce 2.0057 0.0000 8.6686
Pa 0.0000 0.0000 5.6213
P 0.0000 2.0057 9.8864
P 2.0057 0.0000 1.3563
P 2.0057 2.0057 5.6213
Rh 0.0000 0.0000 0.0000
Rh 0.0000 2.0057 7.5438
Rh 2.0057 0.0000 3.6989
Rh 2.0057 2.0057 0.0000
```

Computed properties:
**Space group**: P-4m2
**E**: -77.2 eV per formula unit
**DOS(E_F)**: 11.67 states/eV/f.u.